No. 1
Material: AcSiTc2C
Method: DFT, PBE
State: optimized geometry

## Properties
symmetry: Cmcm (63)
DFT total energy: -82.35 eV per cell

```
10
Lattice="-2.038 3.387 -1.390 -3.840 -4.369 1.300 -0.529 2.529 6.937" Properties=species:S:1:pos:R:3 pbc="T T T"
Si -3.660 2.355 4.787
Ac -1.611 2.073 1.096
Tc -4.437 1.049 2.743
Tc -4.237 0.095 0.128
C 0.000 0.000 0.000
Tc -1.970 0.499 4.103
Si -2.746 -0.807 2.059
Tc -2.170 1.452 6.719
Ac -4.795 -0.525 5.750
C -0.265 1.264 3.469
```

No. 2
Material: AcSi2W2C
Method: DFT, PBE
State: optimized geometry

## Properties
symmetry: P4/mmm (123)
DFT total energy: -52.03 eV per cell

```
6
Lattice="4.274 0.000 0.000 0.000 4.274 0.000 0.000 0.000 5.621" Properties=species:S:1:pos:R:3 pbc="T T T"
Si 2.137 2.137 4.088
W 2.137 0.000 0.000
W 0.000 2.137 0.000
Si 2.137 2.137 1.532
C 0.000 0.000 0.000
Ac 0.000 0.000 2.810
```

No. 3
Material: AcSmC4
Method: DFT, PBE
State: optimized geometry

## Properties
E_form: -0.098 eV per atom
symmetry: C2/m (12)
DFT total energy: -46.31 eV per cell

```
6
Lattice="3.769 0.000 1.090 1.836 3.874 0.711 0.019 0.019 6.996" Properties=species:S:1:pos:R:3 pbc="T T T"
Sm 2.812 1.946 4.398
C 1.287 0.365 2.612
C 4.337 3.528 6.185
C 1.450 1.524 2.048
C 4.174 2.369 6.748
Ac 0.000 0.000 0.000
```

No. 4
Material: Ac2SmC
Method: DFT, PBE
State: optimized geometry

## Properties
E_form: 1.065 eV per atom
symmetry: R-3m (166)
DFT total energy: -17.90 eV per cell

```
4
Lattice="4.054 0.000 0.000 2.027 3.511 0.000 2.027 1.170 10.709" Properties=species:S:1:pos:R:3 pbc="T T T"
Ac 6.082 3.511 2.342
Sm 4.054 2.341 5.355
Ac 2.027 1.170 8.367
C 0.000 0.000 0.000
```